(1)
# TiNb3Ru

Crystalline TiNb3Ru at its relaxed geometry (PBE-GGA, the Alexandria database).

Cell: 4.6080 4.6080 4.6080 Å, 90.00 90.00 90.00°
Last column: nearest neighbours and their distance in Å.
Positions (direct):
Ru: 0.5000 0.5000 0.5000  12 Nb 3.26
Nb: 0.0000 0.5000 0.0000  2 Ti 2.30
Nb: 0.0000 0.0000 0.5000  2 Ti 2.30
Nb: 0.5000 0.0000 0.0000  2 Ti 2.30
Ti: 0.0000 0.0000 0.0000  6 Nb 2.30

## Properties
E_form, kJ/mol of atoms: 133
Raw total energy, eV per atom: -8.093
Space-group type: Pm-3m

***

(2)
# CaPr2DyS4

Crystalline CaPr2DyS4 at its relaxed geometry (PBE-GGA, the Alexandria database).

Cell: 4.0000 6.9501 7.0569 Å, 108.97 90.00 90.00°
Last column: nearest neighbours and their distance in Å.
Positions (direct):
Ca: 0.0000 0.0000 0.0000  6 S 2.80-2.81
Pr: 0.5000 0.0000 0.5000  6 S 2.92-2.93
Pr: 0.0000 0.5000 0.5000  6 S 2.90-2.91
Dy: 0.5000 0.5000 0.0000  6 S 2.78
S: 0.5000 0.2483 0.2356  1 Dy 2.78, 2 Ca 2.81, 3 Pr 2.90-2.92
S: 0.5000 0.7517 0.7644  1 Dy 2.78, 2 Ca 2.81, 3 Pr 2.90-2.92
S: 0.0000 0.2575 0.7671  2 Dy 2.78, 1 Ca 2.80, 3 Pr 2.91-2.93
S: 0.0000 0.7425 0.2329  2 Dy 2.78, 1 Ca 2.80, 3 Pr 2.91-2.93

## Properties
Energy relative to the elements, uncorrected, eV/atom: -2.032
Raw total energy, eV per atom: -6.116
Space-group type: P2/m

***

(3)
# TaOs5

Crystalline TaOs5 at its relaxed geometry (PBE-GGA, the Alexandria database).

Cell: 2.7937 7.3794 4.4119 Å, 90.00 90.00 79.09°
Last column: nearest neighbours and their distance in Å.
Positions (direct):
Os: 0.0023 0.9955 0.0000  10 Os 2.73-2.84, 2 Ta 2.75
Os: 0.6683 0.6635 0.0000  12 Os 2.71-2.79
Os: 0.3316 0.3368 0.0000  4 Ta 2.74, 8 Os 2.75-2.84
Os: 0.5584 0.8832 0.5000  10 Os 2.69-2.79, 2 Ta 2.83
Os: 0.2174 0.5652 0.5000  10 Os 2.69-2.79, 2 Ta 2.85
Ta: 0.8888 0.2224 0.5000  10 Os 2.74-2.85, 2 Ta 2.79

## Properties
E_form, kJ/mol of atoms: -4
Raw total energy, eV per atom: -11.371
Space-group type: Amm2

***

(4)
# SrNF2

Crystalline SrNF2 at its relaxed geometry (PBE-GGA, the Alexandria database).

Cell: 7.9394 7.9394 7.9394 Å, 28.60 28.60 28.60°
Last column: nearest neighbours and their distance in Å.
Positions (direct):
Sr: 0.5000 0.5000 0.5000  6 F 2.45
N: 0.0000 0.0000 0.0000  2 F 2.86
F: 0.8748 0.8748 0.8748  3 Sr 2.45
F: 0.1252 0.1252 0.1252  3 Sr 2.45

## Properties
Energy relative to the elements, uncorrected, eV/atom: -1.531
Raw total energy, eV per atom: -4.968
Space-group type: R-3m

***

(5)
# CsHg3Te2

Crystalline CsHg3Te2 at its relaxed geometry (PBE-GGA, the Alexandria database).

Cell: 7.6874 7.6874 7.8702 Å, 88.06 88.06 96.11°
Last column: nearest neighbours and their distance in Å.
Positions (direct):
Cs: 0.3519 0.1481 0.7500  4 Te 3.84-3.90
Cs: 0.6481 0.8519 0.2500  4 Te 3.84-3.90
Hg: 0.1447 0.6436 0.4939  2 Te 2.85, 3 Hg 2.96-3.17
Hg: 0.8564 0.3553 0.0061  2 Te 2.85, 3 Hg 2.96-3.17
Hg: 0.8553 0.3564 0.5061  2 Te 2.85, 3 Hg 2.96-3.17
Hg: 0.1436 0.6447 0.9939  2 Te 2.85, 3 Hg 2.96-3.17
Hg: 0.8268 0.6732 0.7500  4 Hg 3.15-3.17, 2 Te 3.18
Hg: 0.1732 0.3268 0.2500  4 Hg 3.15-3.17, 2 Te 3.18
Te: 0.8487 0.0874 0.7644  3 Hg 2.85-3.18
Te: 0.4126 0.6513 0.7356  3 Hg 2.85-3.18
Te: 0.1513 0.9126 0.2356  3 Hg 2.85-3.18
Te: 0.5874 0.3487 0.2644  3 Hg 2.85-3.18

## Properties
Energy relative to the elements, uncorrected, eV/atom: -0.355
Raw total energy, eV per atom: -1.696
Space-group type: C2/c

***

(6)
# CrGeBr3

Crystalline CrGeBr3 at its relaxed geometry (PBE-GGA, the Alexandria database).

Cell: 5.1499 5.1499 5.1499 Å, 90.00 90.00 90.00°
Last column: nearest neighbours and their distance in Å.
Positions (direct):
Cr: 0.0000 0.0000 0.0000  6 Br 2.57
Ge: 0.5000 0.5000 0.5000  12 Br 3.64
Br: 0.0000 0.5000 0.0000  2 Cr 2.57
Br: 0.0000 0.0000 0.5000  2 Cr 2.57
Br: 0.5000 0.0000 0.0000  2 Cr 2.57

## Properties
Energy relative to the elements, uncorrected, eV/atom: -0.062
Raw total energy, eV per atom: -3.914
Space-group type: Pm-3m